## ReNiPO2 (GGA+U)

Data for an optimized crystal structure of ReNiPO2.

Calculated volume: 61 Å³ per cell
Raw total energy: -27.12 eV/cell

Cell and atoms, written as POSCAR:
```
ReNiPO2
1.0
3.649 0.000 0.000
0.000 3.649 0.000
0.000 0.000 4.585
Re Ni P O
1 1 1 2
direct
0.000 0.000 0.000 Re
0.500 0.500 0.500 Ni
0.500 0.500 0.000 P
0.000 0.500 0.500 O
0.500 0.000 0.500 O
```